Record 1
# SiTcO3

A PBEsol-optimized structure of SiTcO3 (SCAN, Alexandria).

abc: 3.6052 3.6052 3.6052
angles: 90.00 90.00 90.00
Element x y z (fractional)
1 O 0.0000 0.5000 0.0000
2 Tc 0.5000 0.5000 0.5000
3 Si 0.0000 0.0000 0.0000
4 O 0.0000 0.0000 0.5000
5 O 0.5000 0.0000 0.0000

Calculated values
Its raw formation energy is -1.464 eV/atom. The calculation puts the spin magnetization at 5.000 μB per formula unit. The calculated total energy comes out at -14.22 eV per atom.

***

Record 2
# SiTcO2

A PBEsol-optimized structure of SiTcO2 (SCAN, Alexandria).

abc: 4.5234 5.2454 4.5234
angles: 64.46 90.00 115.54
Element x y z (fractional)
1 Tc 0.0000 0.0000 0.0000
2 O 0.2292 0.7500 0.8750
3 O 0.8750 0.2500 0.5208
4 Si 0.5000 0.0000 0.5000
5 Si 0.2500 0.5000 0.2500
6 Tc 0.7500 0.5000 0.7500
7 O 0.3750 0.2500 0.2292
8 O 0.5208 0.7500 0.3750

Calculated values
Its raw formation energy is -0.818 eV/atom. The calculation puts the spin magnetization at 0.000 μB per formula unit. The calculated total energy comes out at -15.20 eV per atom.

***

Record 3
# SiTcO2

A PBEsol-optimized structure of SiTcO2 (SCAN, Alexandria).

abc: 2.7310 2.7310 6.5021
angles: 77.88 77.88 60.00
Element x y z (fractional)
1 Tc 0.0000 0.0000 0.0000
2 O 0.8818 0.8818 0.3545
3 Si 0.5000 0.5000 0.5000
4 O 0.1182 0.1182 0.6455

Calculated values
Its raw formation energy is -1.205 eV/atom. The calculation puts the spin magnetization at 0.603 μB per formula unit. The calculated total energy comes out at -15.59 eV per atom.

***

Record 4
# SiTc3O

A PBEsol-optimized structure of SiTc3O (SCAN, Alexandria).

abc: 3.9695 3.9695 3.9695
angles: 90.00 90.00 90.00
Element x y z (fractional)
1 Tc 0.0000 0.0000 0.5000
2 Tc 0.5000 0.0000 0.0000
3 O 0.0000 0.0000 0.0000
4 Si 0.5000 0.5000 0.5000
5 Tc 0.0000 0.5000 0.0000

Calculated values
Its raw formation energy is 0.038 eV/atom. The calculation puts the spin magnetization at 1.142 μB per formula unit. The calculated total energy comes out at -24.25 eV per atom.

***

Record 5
# SiTc2O

A PBEsol-optimized structure of SiTc2O (SCAN, Alexandria).

abc: 5.2445 5.6309 5.2445
angles: 62.25 90.00 117.75
Element x y z (fractional)
1 Tc 0.3750 0.2500 0.1917
2 Tc 0.1917 0.7500 0.8750
3 Si 0.7500 0.5000 0.7500
4 Si 0.0000 0.0000 0.0000
5 O 0.2500 0.5000 0.2500
6 O 0.5000 0.0000 0.5000
7 Tc 0.5583 0.7500 0.3750
8 Tc 0.8750 0.2500 0.5583

Calculated values
Its raw formation energy is 0.035 eV/atom. The calculation puts the spin magnetization at 0.000 μB per formula unit. The calculated total energy comes out at -21.56 eV per atom.

***

Record 6
# SiTeO2

A PBEsol-optimized structure of SiTeO2 (SCAN, Alexandria).

abc: 5.3970 5.3970 5.3970
angles: 60.00 60.00 60.00
Element x y z (fractional)
1 Te 0.7500 0.7500 0.7500
2 O 0.1250 0.1250 0.6250
3 O 0.6250 0.1250 0.1250
4 Te 0.5000 0.5000 0.5000
5 Si 0.2500 0.2500 0.2500
6 O 0.1250 0.1250 0.1250
7 O 0.1250 0.6250 0.1250
8 Si 0.0000 0.0000 0.0000

Calculated values
Its raw formation energy is -1.711 eV/atom. The calculation puts the spin magnetization at 0.009 μB per formula unit. The calculation puts the energy above the most stable polymorph in this dataset at 0 meV per atom. The calculated total energy comes out at -16.64 eV per atom.

***

Record 7
# Si2TeO7

A PBEsol-optimized structure of Si2TeO7 (SCAN, Alexandria).

abc: 7.5695 9.4197 10.1906
angles: 68.36 68.20 66.31
Element x y z (fractional)
1 O 0.8610 0.4727 0.3925
2 O 0.2508 0.5016 0.3219
3 O 0.0180 0.6894 0.9224
4 Si 0.4671 0.8089 0.9237
5 Si 0.8004 0.3089 0.4237
6 O 0.4445 0.7401 0.1045
7 Te 0.8069 0.2500 0.7500
8 Te 0.1931 0.7500 0.2500
9 O 0.0060 0.8288 0.6390
10 O 0.3805 0.6283 0.6506
11 Si 0.5329 0.1911 0.0763
12 Si 0.0980 0.1748 0.1868
13 O 0.0613 0.2747 0.5999
14 O 0.6195 0.3717 0.3494
15 O 0.2739 0.9727 0.8925
16 Si 0.1996 0.6911 0.5763
17 O 0.6298 0.8106 0.5776
18 Te 0.0000 0.0000 0.0000
19 O 0.9940 0.1712 0.3610
20 O 0.9257 0.0016 0.8219
21 O 0.6594 0.8717 0.8494
22 Si 0.9020 0.8252 0.8132
23 O 0.7109 0.2401 0.6045
24 O 0.0743 0.9984 0.1781
25 O 0.9820 0.3106 0.0776
26 O 0.2891 0.7599 0.3955
27 O 0.9387 0.7253 0.4001
28 O 0.4738 0.6712 0.8610
29 O 0.7492 0.4984 0.6781
30 O 0.0641 0.7747 0.0999
31 O 0.3702 0.1894 0.4224
32 O 0.5555 0.2599 0.8955
33 Si 0.4595 0.3252 0.3132
34 O 0.5262 0.3288 0.1390
35 O 0.3406 0.1283 0.1506
36 O 0.9359 0.2253 0.9001
37 Si 0.5405 0.6748 0.6868
38 O 0.1390 0.5273 0.6075
39 O 0.7261 0.0273 0.1075
40 Te 0.0000 0.5000 0.5000

Calculated values
Its raw formation energy is -1.869 eV/atom. The calculation puts the spin magnetization at 0.060 μB per formula unit. The calculated total energy comes out at -11.96 eV per atom.

***

Record 8
# SiTeO2

A PBEsol-optimized structure of SiTeO2 (SCAN, Alexandria).

abc: 2.8472 2.8472 9.7618
angles: 81.67 81.67 60.00
Element x y z (fractional)
1 O 0.1369 0.1369 0.5898
2 Si 0.5000 0.5000 0.5000
3 Te 0.0000 0.0000 0.0000
4 O 0.8630 0.8630 0.4102

Calculated values
Its raw formation energy is -1.690 eV/atom. The calculation puts the spin magnetization at 0.000 μB per formula unit. The calculation puts the energy above the most stable polymorph in this dataset at 21 meV per atom. The calculated total energy comes out at -16.62 eV per atom.

***

Record 9
# Ti2Si2O

A PBEsol-optimized structure of Ti2Si2O (SCAN, Alexandria).

abc: 4.6991 4.6991 4.6991
angles: 97.81 115.60 115.60
Element x y z (fractional)
1 Ti 0.5000 0.2500 0.7500
2 Ti 0.5000 0.7500 0.2500
3 O 0.0000 0.0000 0.0000
4 Si 0.0000 0.7118 0.7118
5 Si 0.0000 0.2882 0.2882

Calculated values
Its raw formation energy is -0.202 eV/atom. The calculation puts the spin magnetization at 0.000 μB per formula unit. The calculated total energy comes out at -11.87 eV per atom.

***

Copy entry 9 word for word.
# Ti2Si2O

A PBEsol-optimized structure of Ti2Si2O (SCAN, Alexandria).

abc: 4.6991 4.6991 4.6991
angles: 97.81 115.60 115.60
Element x y z (fractional)
1 Ti 0.5000 0.2500 0.7500
2 Ti 0.5000 0.7500 0.2500
3 O 0.0000 0.0000 0.0000
4 Si 0.0000 0.7118 0.7118
5 Si 0.0000 0.2882 0.2882

Calculated values
Its raw formation energy is -0.202 eV/atom. The calculation puts the spin magnetization at 0.000 μB per formula unit. The calculated total energy comes out at -11.87 eV per atom.

***

Copy entry 2 word for word.
# SiTcO2

A PBEsol-optimized structure of SiTcO2 (SCAN, Alexandria).

abc: 4.5234 5.2454 4.5234
angles: 64.46 90.00 115.54
Element x y z (fractional)
1 Tc 0.0000 0.0000 0.0000
2 O 0.2292 0.7500 0.8750
3 O 0.8750 0.2500 0.5208
4 Si 0.5000 0.0000 0.5000
5 Si 0.2500 0.5000 0.2500
6 Tc 0.7500 0.5000 0.7500
7 O 0.3750 0.2500 0.2292
8 O 0.5208 0.7500 0.3750

Calculated values
Its raw formation energy is -0.818 eV/atom. The calculation puts the spin magnetization at 0.000 μB per formula unit. The calculated total energy comes out at -15.20 eV per atom.